! GGA-PBE TePtRh2, relaxed; values from VASP
&SYSTEM
  ibrav = 0, nat = 4, ntyp = 3
/
ATOMIC_SPECIES
Rh 102.91 Rh.upf
Te 127.60 Te.upf
Pt 195.08 Pt.upf
CELL_PARAMETERS angstrom
-2.133 2.133 3.605
2.133 -2.133 3.605
2.133 2.133 -3.605
ATOMIC_POSITIONS angstrom
Rh 0.000 2.133 1.802
Rh 2.133 0.000 1.802
Te 0.000 0.000 3.605
Pt 0.000 0.000 0.000
! Space-group type ... I4/mmm (139)
! Raw formation energy ... 0.04 eV per formula unit